#P
The following is a PBE-GGA calculation of an optimized crystal structure of TlAsCl2, from Alexandria.

POSCAR file:
```
TlAsCl2
1.0
-2.815 2.815 8.345
2.815 -2.815 8.345
2.815 2.815 -8.345
Tl As Cl
2 2 4
direct
0.000 0.000 0.000
0.750 0.250 0.500
0.250 0.750 0.500
0.500 0.500 0.000
0.217 0.625 0.092
0.375 0.467 0.592
0.533 0.125 0.908
0.875 0.783 0.408
```

Space group   I-42d (122)
D(E_F)   0.05 states/eV/f.u.



#Q
The following is a PBE-GGA calculation of an optimized crystal structure of TlAsCl2, from Alexandria.

POSCAR file:
```
TlAsCl2
1.0
3.304 0.000 0.000
0.000 4.174 0.000
0.000 0.000 7.176
Tl As Cl
1 1 2
direct
0.000 0.000 0.000
0.000 0.000 0.500
0.500 0.500 0.270
0.500 0.500 0.730
```

Space group   Pmmm (47)
D(E_F)   3.17 states/eV/f.u.



#R
The following is a PBE-GGA calculation of an optimized crystal structure of TlAsCl2, from Alexandria.

POSCAR file:
```
TlAsCl2
1.0
-1.874 2.981 4.936
1.874 -2.981 4.936
1.874 2.981 -4.936
Tl As Cl
1 1 2
direct
0.000 0.000 0.000
0.500 0.500 0.000
0.319 0.819 0.500
0.681 0.181 0.500
```

Space group   Immm (71)
D(E_F)   0.68 states/eV/f.u.



Name the least stable of them. #Q.



#P
The following is a PBE-GGA calculation of an optimized crystal structure of Tl4AsCl, from Alexandria.

POSCAR file:
```
Tl4AsCl
1.0
0.000 4.515 4.515
4.515 0.000 4.515
4.515 4.515 0.000
Tl As Cl
4 1 1
direct
0.125 0.125 0.125
0.125 0.125 0.626
0.125 0.626 0.125
0.626 0.125 0.125
0.750 0.750 0.750
0.500 0.500 0.500
```

Space group   F-43m (216)
D(E_F)   3.38 states/eV/f.u.



#Q
The following is a PBE-GGA calculation of an optimized crystal structure of Tl4AsCl, from Alexandria.

POSCAR file:
```
Tl4AsCl
1.0
4.191 -7.814 0.000
4.191 7.814 0.000
-2.064 0.000 6.343
Tl As Cl
8 2 2
direct
0.023 0.401 0.717
0.125 0.237 0.110
0.237 0.125 0.610
0.401 0.023 0.217
0.599 0.977 0.783
0.763 0.875 0.390
0.875 0.763 0.890
0.977 0.599 0.283
0.193 0.807 0.750
0.807 0.193 0.250
0.353 0.647 0.250
0.647 0.353 0.750
```

Space group   C2/c (15)
D(E_F)   0.89 states/eV/f.u.



Name the least stable of them. #P.



#P
The following is a PBE-GGA calculation of an optimized crystal structure of TlAsCl4, from Alexandria.

POSCAR file:
```
TlAsCl4
1.0
0.000 4.334 4.334
4.334 0.000 4.334
4.334 4.334 0.000
Tl As Cl
1 1 4
direct
0.000 0.000 0.000
0.750 0.750 0.750
0.375 0.375 0.375
0.375 0.375 0.874
0.375 0.874 0.375
0.874 0.375 0.375
```

Space group   F-43m (216)
D(E_F)   7.63 states/eV/f.u.



#Q
The following is a PBE-GGA calculation of an optimized crystal structure of TlAsCl4, from Alexandria.

POSCAR file:
```
TlAsCl4
1.0
8.126 0.000 0.000
0.000 11.754 0.000
-3.189 0.000 8.375
Tl As Cl
4 4 16
direct
0.125 0.203 0.124
0.125 0.297 0.624
0.875 0.703 0.376
0.875 0.797 0.876
0.310 0.603 0.851
0.310 0.897 0.351
0.690 0.103 0.649
0.690 0.397 0.149
0.003 0.561 0.735
0.003 0.939 0.235
0.269 0.715 0.262
0.269 0.785 0.762
0.344 0.140 0.481
0.344 0.360 0.981
0.378 0.532 0.651
0.378 0.968 0.151
0.622 0.032 0.849
0.622 0.468 0.349
0.656 0.640 0.019
0.656 0.860 0.519
0.731 0.215 0.238
0.731 0.285 0.738
0.997 0.061 0.765
0.997 0.439 0.265
```

Space group   P2_1/c (14)
D(E_F)   0.00 states/eV/f.u.



Name the least stable of them. #P.



#P
The following is a PBE-GGA calculation of an optimized crystal structure of TlAsCl3, from Alexandria.

POSCAR file:
```
TlAsCl3
1.0
4.654 0.000 0.000
1.054 7.570 0.000
0.182 1.463 8.476
Tl As Cl
2 2 6
direct
0.000 0.000 0.000
0.493 0.626 0.563
0.505 0.137 0.443
0.989 0.490 0.120
0.042 0.385 0.450
0.451 0.243 0.114
0.501 0.055 0.717
0.561 0.687 0.153
0.932 0.941 0.411
0.992 0.574 0.846
```

Space group   P1 (1)
D(E_F)   0.91 states/eV/f.u.



#Q
The following is a PBE-GGA calculation of an optimized crystal structure of TlAsCl3, from Alexandria.

POSCAR file:
```
TlAsCl3
1.0
5.204 0.000 0.000
0.000 5.204 0.000
0.000 0.000 5.204
Tl As Cl
1 1 3
direct
0.000 0.000 0.000
0.500 0.500 0.500
0.000 0.500 0.500
0.500 0.000 0.500
0.500 0.500 0.000
```

Space group   Pm-3m (221)
D(E_F)   1.89 states/eV/f.u.



#R
The following is a PBE-GGA calculation of an optimized crystal structure of TlAsCl3, from Alexandria.

POSCAR file:
```
TlAsCl3
1.0
5.388 0.000 0.000
0.000 5.388 0.000
0.000 0.000 5.388
Tl As Cl
1 1 3
direct
0.000 0.000 0.000
0.500 0.500 0.500
0.000 0.000 0.500
0.000 0.500 0.000
0.500 0.000 0.000
```

Space group   Pm-3m (221)
D(E_F)   6.56 states/eV/f.u.



Name the least stable of them. #R.



#P
The following is a PBE-GGA calculation of an optimized crystal structure of VAsCl3, from Alexandria.

POSCAR file:
```
VAsCl3
1.0
5.089 0.000 0.000
0.000 5.089 0.000
0.000 0.000 5.089
V As Cl
1 1 3
direct
0.000 0.000 0.000
0.500 0.500 0.500
0.000 0.500 0.500
0.500 0.000 0.500
0.500 0.500 0.000
```

Space group   Pm-3m (221)
D(E_F)   10.54 states/eV/f.u.



#Q
The following is a PBE-GGA calculation of an optimized crystal structure of VAsCl3, from Alexandria.

POSCAR file:
```
VAsCl3
1.0
4.890 0.000 0.000
0.000 4.890 0.000
0.000 0.000 4.890
V As Cl
1 1 3
direct
0.000 0.000 0.000
0.500 0.500 0.500
0.000 0.000 0.500
0.000 0.500 0.000
0.500 0.000 0.000
```

Space group   Pm-3m (221)
D(E_F)   4.92 states/eV/f.u.



Name the least stable of them. #P.



#P
The following is a PBE-GGA calculation of an optimized crystal structure of VAs2Cl2, from Alexandria.

POSCAR file:
```
VAs2Cl2
1.0
8.349 0.000 0.000
0.000 8.349 0.000
0.000 0.000 2.995
V As Cl
2 4 4
direct
0.000 0.000 0.000
0.500 0.500 0.000
0.211 0.289 0.500
0.289 0.789 0.500
0.711 0.211 0.500
0.789 0.711 0.500
0.121 0.621 0.000
0.379 0.121 0.000
0.621 0.879 0.000
0.879 0.379 0.000
```

Space group   P4/mbm (127)
D(E_F)   4.56 states/eV/f.u.



#Q
The following is a PBE-GGA calculation of an optimized crystal structure of VAs2Cl2, from Alexandria.

POSCAR file:
```
VAs2Cl2
1.0
-1.731 1.731 11.314
1.731 -1.731 11.314
1.731 1.731 -11.314
V As Cl
1 2 2
direct
0.000 0.000 0.000
0.250 0.750 0.500
0.750 0.250 0.500
0.435 0.435 0.000
0.565 0.565 0.000
```

Space group   I4/mmm (139)
D(E_F)   3.93 states/eV/f.u.



Name the least stable of them. #P.



#P
The following is a PBE-GGA calculation of an optimized crystal structure of YAsCl2, from Alexandria.

POSCAR file:
```
YAsCl2
1.0
3.240 0.000 0.000
0.000 3.240 0.000
0.000 0.000 10.795
Y As Cl
1 1 2
direct
0.000 0.000 0.000
0.000 0.000 0.500
0.500 0.500 0.149
0.500 0.500 0.851
```

Space group   P4/mmm (123)
D(E_F)   2.70 states/eV/f.u.



#Q
The following is a PBE-GGA calculation of an optimized crystal structure of YAsCl2, from Alexandria.

POSCAR file:
```
YAsCl2
1.0
0.000 3.482 3.482
3.482 0.000 3.482
3.482 3.482 0.000
Y As Cl
1 1 2
direct
0.000 0.000 0.000
0.500 0.500 0.500
0.250 0.250 0.250
0.750 0.750 0.750
```

Space group   Fm-3m (225)
D(E_F)   3.77 states/eV/f.u.



Name the least stable of them. #Q.



#P
The following is a PBE-GGA calculation of an optimized crystal structure of YAsCl2, from Alexandria.

POSCAR file:
```
YAsCl2
1.0
-1.706 2.669 7.120
1.706 -2.669 7.120
1.706 2.669 -7.120
Y As Cl
1 1 2
direct
0.000 0.000 0.000
0.500 0.500 0.000
0.146 0.646 0.500
0.854 0.354 0.500
```

Space group   Immm (71)
D(E_F)   1.93 states/eV/f.u.



#Q
The following is a PBE-GGA calculation of an optimized crystal structure of YAsCl2, from Alexandria.

POSCAR file:
```
YAsCl2
1.0
3.136 -3.200 0.000
3.136 3.200 0.000
0.000 0.000 4.784
Y As Cl
1 1 2
direct
0.000 0.000 0.000
0.500 0.500 0.000
0.236 0.236 0.500
0.764 0.764 0.500
```

Space group   Cmmm (65)
D(E_F)   0.98 states/eV/f.u.



Name the least stable of them. #Q.



#P
The following is a PBE-GGA calculation of an optimized crystal structure of YAsCl2, from Alexandria.

POSCAR file:
```
YAsCl2
1.0
1.754 1.013 10.866
-1.754 1.013 10.866
0.000 -2.025 10.866
Y As Cl
1 1 2
direct
0.000 0.000 0.000
0.500 0.500 0.500
0.388 0.388 0.388
0.612 0.612 0.612
```

Space group   R-3m (166)
D(E_F)   2.42 states/eV/f.u.



#Q
The following is a PBE-GGA calculation of an optimized crystal structure of YAsCl2, from Alexandria.

POSCAR file:
```
YAsCl2
1.0
0.000 3.179 4.759
3.100 0.000 4.759
3.100 3.179 0.000
Y As Cl
1 1 2
direct
0.000 0.000 0.000
0.500 0.500 0.500
0.000 0.500 0.000
0.500 0.000 0.500
```

Space group   Fmmm (69)
D(E_F)   0.78 states/eV/f.u.



Name the least stable of them. #P.



#P
The following is a PBE-GGA calculation of an optimized crystal structure of YAsCl2, from Alexandria.

POSCAR file:
```
YAsCl2
1.0
-2.229 2.229 9.438
2.229 -2.229 9.438
2.229 2.229 -9.438
Y As Cl
2 2 4
direct
0.000 0.000 0.000
0.750 0.250 0.500
0.250 0.750 0.500
0.500 0.500 0.000
0.115 0.625 0.990
0.375 0.365 0.490
0.635 0.125 0.010
0.875 0.885 0.510
```

Space group   I-42d (122)
D(E_F)   0.07 states/eV/f.u.



#Q
The following is a PBE-GGA calculation of an optimized crystal structure of YAsCl2, from Alexandria.

POSCAR file:
```
YAsCl2
1.0
4.168 0.000 0.000
0.000 4.168 0.000
0.000 0.000 7.875
Y As Cl
1 1 2
direct
0.000 0.000 0.000
0.500 0.500 0.971
0.000 0.000 0.307
0.500 0.500 0.682
```

Space group   P4mm (99)
D(E_F)   0.17 states/eV/f.u.



#R
The following is a PBE-GGA calculation of an optimized crystal structure of YAsCl2, from Alexandria.

POSCAR file:
```
YAsCl2
1.0
5.044 -1.956 0.000
5.044 1.956 0.000
-1.341 0.000 6.684
Y As Cl
1 1 2
direct
0.000 0.000 0.000
0.291 0.291 0.956
0.424 0.424 0.698
0.627 0.627 0.250
```

Space group   Cm (8)
D(E_F)   0.10 states/eV/f.u.



#S
The following is a PBE-GGA calculation of an optimized crystal structure of YAsCl2, from Alexandria.

POSCAR file:
```
YAsCl2
1.0
4.391 0.000 0.000
0.000 4.211 0.000
-0.735 0.000 5.279
Y As Cl
1 1 2
direct
0.000 0.000 0.000
0.478 0.500 0.903
0.286 0.500 0.293
0.829 0.000 0.501
```

Space group   Pm (6)



Name the least stable of them. #P.



#P
The following is a PBE-GGA calculation of an optimized crystal structure of YAsCl2, from Alexandria.

POSCAR file:
```
YAsCl2
1.0
0.000 3.567 3.567
3.567 0.000 3.567
3.567 3.567 0.000
Y As Cl
1 1 2
direct
0.000 0.000 0.000
0.750 0.750 0.750
0.250 0.250 0.250
0.500 0.500 0.500
```

Space group   F-43m (216)
D(E_F)   4.69 states/eV/f.u.



#Q
The following is a PBE-GGA calculation of an optimized crystal structure of YAsCl2, from Alexandria.

POSCAR file:
```
YAsCl2
1.0
7.172 -1.881 0.000
7.172 1.881 0.000
-0.465 0.000 4.531
Y As Cl
1 1 2
direct
0.000 0.000 0.000
0.500 0.500 0.500
0.358 0.358 0.799
0.642 0.642 0.201
```

Space group   C2/m (12)
D(E_F)   0.30 states/eV/f.u.



#R
The following is a PBE-GGA calculation of an optimized crystal structure of YAsCl2, from Alexandria.

POSCAR file:
```
YAsCl2
1.0
1.761 1.017 10.477
-1.761 1.017 10.477
0.000 -2.033 10.477
Y As Cl
1 1 2
direct
0.000 0.000 0.000
0.500 0.500 0.500
0.277 0.277 0.277
0.723 0.723 0.723
```

Space group   R-3m (166)
D(E_F)   3.02 states/eV/f.u.



Name the least stable of them. #P.